An optimized crystal structure of Th2NbTl, computed with PBE.

Geometry as POSCAR:
```
Th2NbTl
1.0
3.5997 0.0000 0.0000
0.0000 3.5997 0.0000
0.0000 0.0000 8.7243
Tl Nb Th
1 1 2
direct
0.5000 0.5000 0.5000 Tl
0.5000 0.5000 0.0000 Nb
0.0000 0.0000 0.2168 Th
0.0000 0.0000 0.7832 Th
```

energy relative to the lowest polymorph listed for this composition = 0.000 eV per atom
energy relative to the elements = 122.1 meV per atom
space-group type = P4/mmm